1.
The following is a DFT calculation (GGA-PBE) of a relaxed structure of Be2Ag.

symmetry	No. 140
offset from the most stable computed form	0.2529	eV per atom

a b c (Å): 4.2266 4.2266 8.1829
angles (deg): 90.00 90.00 90.00
Positions (direct):
Be 0.1753 0.3247 0.0000
Be 0.1753 0.6753 0.5000
Be 0.3247 0.1753 0.5000
Be 0.3247 0.8247 0.0000
Be 0.6753 0.1753 0.0000
Be 0.6753 0.8247 0.5000
Be 0.8247 0.3247 0.5000
Be 0.8247 0.6753 0.0000
Ag 0.0000 0.0000 0.2500
Ag 0.0000 0.0000 0.7500
Ag 0.5000 0.5000 0.2500
Ag 0.5000 0.5000 0.7500



2.
The following is a DFT calculation (GGA-PBE) of a relaxed structure of BeAg2.

symmetry	No. 62

a b c (Å): 5.5073 4.0729 7.7899
angles (deg): 90.00 90.00 90.00
Positions (direct):
Be 0.2024 0.2500 0.1096
Be 0.2976 0.7500 0.6096
Be 0.7024 0.2500 0.3904
Be 0.7976 0.7500 0.8904
Ag 0.0331 0.2500 0.7978
Ag 0.1668 0.2500 0.4359
Ag 0.3332 0.7500 0.9359
Ag 0.4669 0.7500 0.2978
Ag 0.5331 0.2500 0.7022
Ag 0.6668 0.2500 0.0641
Ag 0.8332 0.7500 0.5641
Ag 0.9669 0.7500 0.2022



3.
The following is a DFT calculation (GGA-PBE) of a relaxed structure of BeAg2.

symmetry	No. 8

a b c (Å): 10.3973 2.9719 5.9991
angles (deg): 90.00 105.28 90.00
Positions (direct):
Be 0.0000 0.0000 0.0000
Be 0.1741 0.5000 0.2651
Be 0.5000 0.5000 0.0000
Be 0.6741 0.0000 0.2651
Ag 0.0410 0.0000 0.4327
Ag 0.1355 0.5000 0.8355
Ag 0.3379 0.0000 0.1351
Ag 0.3384 0.0000 0.6350
Ag 0.5410 0.5000 0.4327
Ag 0.6355 0.0000 0.8355
Ag 0.8379 0.5000 0.1351
Ag 0.8384 0.5000 0.6350



4.
The following is a DFT calculation (GGA-PBE) of a relaxed structure of Be12Ag.

symmetry	No. 139

a b c (Å): 5.6283 5.6283 5.6283
angles (deg): 98.23 98.23 135.55
Positions (direct):
Be 0.0000 0.0000 0.5000
Be 0.0000 0.2336 0.2336
Be 0.0000 0.5000 0.0000
Be 0.0000 0.7664 0.7664
Be 0.1468 0.5000 0.6468
Be 0.2336 0.0000 0.2336
Be 0.5000 0.0000 0.0000
Be 0.5000 0.1468 0.6468
Be 0.5000 0.5000 0.5000
Be 0.5000 0.8532 0.3532
Be 0.7664 0.0000 0.7664
Be 0.8532 0.5000 0.3532
Ag 0.5000 0.5000 0.0000



5.
The following is a DFT calculation (GGA-PBE) of a relaxed structure of Be4Ag3.

symmetry	No. 221
offset from the most stable computed form	0.5573	eV per atom

a b c (Å): 4.7512 4.7512 4.7512
angles (deg): 90.00 90.00 90.00
Positions (direct):
Be 0.0000 0.0000 0.0000
Be 0.0000 0.5000 0.5000
Be 0.5000 0.0000 0.5000
Be 0.5000 0.5000 0.0000
Ag 0.0000 0.0000 0.5000
Ag 0.0000 0.5000 0.0000
Ag 0.5000 0.0000 0.0000



6.
The following is a DFT calculation (GGA-PBE) of a relaxed structure of BeAg2.

symmetry	No. 63

a b c (Å): 2.8303 13.9057 4.5689
angles (deg): 90.00 90.00 90.00
Positions (direct):
Be 0.0000 0.2178 0.2500
Be 0.0000 0.7822 0.7500
Be 0.5000 0.2822 0.7500
Be 0.5000 0.7178 0.2500
Ag 0.0000 0.1367 0.7500
Ag 0.0000 0.4377 0.7500
Ag 0.0000 0.5623 0.2500
Ag 0.0000 0.8633 0.2500
Ag 0.5000 0.0623 0.2500
Ag 0.5000 0.3633 0.2500
Ag 0.5000 0.6367 0.7500
Ag 0.5000 0.9377 0.7500



7.
The following is a DFT calculation (GGA-PBE) of a relaxed structure of Be2Ag.

symmetry	No. 194
offset from the most stable computed form	0.5879	eV per atom

a b c (Å): 2.7142 2.7142 12.3826
angles (deg): 90.00 90.00 120.00
Positions (direct):
Be 0.0000 0.0000 0.0878
Be 0.0000 0.0000 0.4122
Be 0.0000 0.0000 0.5878
Be 0.0000 0.0000 0.9122
Ag 0.3333 0.6667 0.2500
Ag 0.6667 0.3333 0.7500



8.
The following is a DFT calculation (GGA-PBE) of a relaxed structure of Be3Ag2.

symmetry	No. 166
offset from the most stable computed form	0.2056	eV per atom

a b c (Å): 2.7221 2.7221 29.8655
angles (deg): 90.00 90.00 120.00
Positions (direct):
Be 0.0000 0.0000 0.0000
Be 0.0000 0.0000 0.1951
Be 0.0000 0.0000 0.8049
Be 0.3333 0.6667 0.4716
Be 0.3333 0.6667 0.6667
Be 0.3333 0.6667 0.8618
Be 0.6667 0.3333 0.1382
Be 0.6667 0.3333 0.3333
Be 0.6667 0.3333 0.5284
Ag 0.0000 0.0000 0.4022
Ag 0.0000 0.0000 0.5978
Ag 0.3333 0.6667 0.0689
Ag 0.3333 0.6667 0.2645
Ag 0.6667 0.3333 0.7355
Ag 0.6667 0.3333 0.9311



Across the entries above, DFT formation energy takes the values 0.2785 0.1599 0.1796 0.1015 0.7025 0.2048 0.6135 0.3722 eV/atom, respectively.